(1)
Compound: Zr2Cd
Source: OQMD via LeMat-Bulk
Functional: PBE-GGA
Structure: relaxed

Cell lengths 8.0897, 8.0897, 5.2487 Å; angles 90.00, 90.00, 157.26 degrees
Closest atoms and distances in Å follow each position.
Sites, in units of the cell vectors:
Zr 0.0695 0.9305 0.7500  6 Zr 3.08-3.43, 6 Cd 3.11-3.13
Zr 0.2646 0.7354 0.2500  4 Cd 3.06-3.39, 8 Zr 3.08-3.19
Zr 0.7354 0.2646 0.7500  4 Cd 3.06-3.39, 8 Zr 3.08-3.19
Zr 0.9305 0.0695 0.2500  6 Zr 3.08-3.43, 6 Cd 3.11-3.13
Cd 0.3998 0.6002 0.7500  10 Zr 3.06-3.39, 2 Cd 3.19
Cd 0.6002 0.3998 0.2500  10 Zr 3.06-3.39, 2 Cd 3.19

Values from the calculation:
E_tot: -36.222 eV per cell
V: 133 Å³/cell
energy relative to the elements: -0.12 eV per formula unit
total magnetization: 0.001 μB per atom

***

(2)
Compound: Zr4Cd3
Source: OQMD via LeMat-Bulk
Functional: PBE-GGA
Structure: relaxed

Cell lengths 8.4095, 8.4095, 4.9955 Å; angles 90.00, 90.00, 120.00 degrees
Closest atoms and distances in Å follow each position.
Sites, in units of the cell vectors:
Zr 0.0271 0.2314 0.2500  5 Cd 3.05-3.31, 7 Zr 3.10-3.26
Zr 0.2043 0.9729 0.2500  5 Cd 3.05-3.31, 7 Zr 3.10-3.26
Zr 0.2314 0.2043 0.7500  5 Cd 3.05-3.31, 7 Zr 3.10-3.26
Zr 0.3333 0.6667 0.2500  9 Cd 3.12-3.14, 3 Zr 3.26
Zr 0.6667 0.3333 0.7500  9 Cd 3.12-3.14, 3 Zr 3.26
Zr 0.7686 0.7957 0.2500  5 Cd 3.05-3.31, 7 Zr 3.10-3.26
Zr 0.7957 0.0271 0.7500  5 Cd 3.05-3.31, 7 Zr 3.10-3.26
Zr 0.9729 0.7686 0.7500  5 Cd 3.05-3.31, 7 Zr 3.10-3.26
Cd 0.0896 0.4747 0.7500  8 Zr 3.05-3.31, 4 Cd 3.05-3.24
Cd 0.3852 0.9104 0.7500  8 Zr 3.05-3.31, 4 Cd 3.05-3.24
Cd 0.4747 0.3852 0.2500  8 Zr 3.05-3.31, 4 Cd 3.05-3.24
Cd 0.5253 0.6148 0.7500  8 Zr 3.05-3.31, 4 Cd 3.05-3.24
Cd 0.6148 0.0896 0.2500  8 Zr 3.05-3.31, 4 Cd 3.05-3.24
Cd 0.9104 0.5253 0.2500  8 Zr 3.05-3.31, 4 Cd 3.05-3.24

Values from the calculation:
E_tot: -73.868 eV per cell
V: 306 Å³/cell
energy relative to the elements: -0.06 eV per formula unit
distance to the lowest polymorph of the same formula: 0.26 eV/f.u.
total magnetization: 0.083 μB per atom

***

(3)
Compound: Zr2Cd
Source: OQMD via LeMat-Bulk
Functional: PBE-GGA
Structure: relaxed

Cell lengths 8.4990, 5.0863, 12.7398 Å; angles 90.00, 101.71, 90.00 degrees
Closest atoms and distances in Å follow each position.
Sites, in units of the cell vectors:
Zr 0.0531 0.2500 0.0693  8 Zr 3.11-3.27, 4 Cd 3.15-3.25
Zr 0.0559 0.2500 0.3231  3 Cd 3.12-3.28, 9 Zr 3.14-3.29
Zr 0.0613 0.2500 0.8217  9 Zr 3.07-3.18, 3 Cd 3.16-3.25
Zr 0.0664 0.2500 0.5730  10 Zr 3.08-3.25, 2 Cd 3.10-3.28
Zr 0.2686 0.7500 0.8496  8 Zr 3.07-3.40, 4 Cd 3.14-3.27
Zr 0.2736 0.7500 0.5835  8 Zr 3.08-3.40, 4 Cd 3.08-3.24
Zr 0.3934 0.2500 0.9876  7 Zr 3.10-3.27, 5 Cd 3.16-3.20
Zr 0.4049 0.2500 0.4919  7 Zr 3.00-3.29, 5 Cd 3.11-3.24
Zr 0.5951 0.7500 0.5081  7 Zr 3.00-3.29, 5 Cd 3.11-3.24
Zr 0.6066 0.7500 0.0124  7 Zr 3.10-3.27, 5 Cd 3.16-3.20
Zr 0.7264 0.2500 0.4165  8 Zr 3.08-3.40, 4 Cd 3.08-3.24
Zr 0.7314 0.2500 0.1504  8 Zr 3.07-3.40, 4 Cd 3.14-3.27
Zr 0.9336 0.7500 0.4270  10 Zr 3.08-3.25, 2 Cd 3.10-3.28
Zr 0.9387 0.7500 0.1783  9 Zr 3.07-3.18, 3 Cd 3.16-3.25
Zr 0.9441 0.7500 0.6769  3 Cd 3.12-3.28, 9 Zr 3.14-3.29
Zr 0.9469 0.7500 0.9307  8 Zr 3.11-3.27, 4 Cd 3.15-3.25
Cd 0.2724 0.7500 0.3418  8 Zr 3.08-3.28, 4 Cd 3.12-3.24
Cd 0.2772 0.7500 0.0975  4 Cd 3.12-3.17, 8 Zr 3.14-3.25
Cd 0.3889 0.2500 0.7382  8 Zr 3.10-3.24, 4 Cd 3.11-3.24
Cd 0.3954 0.2500 0.2386  6 Cd 3.11-3.16, 6 Zr 3.19-3.28
Cd 0.6046 0.7500 0.7614  6 Cd 3.11-3.16, 6 Zr 3.19-3.28
Cd 0.6111 0.7500 0.2618  8 Zr 3.10-3.24, 4 Cd 3.11-3.24
Cd 0.7228 0.2500 0.9025  4 Cd 3.12-3.17, 8 Zr 3.14-3.25
Cd 0.7276 0.2500 0.6582  8 Zr 3.08-3.28, 4 Cd 3.12-3.24

Values from the calculation:
E_tot: -143.540 eV per cell
V: 539 Å³/cell
energy relative to the elements: 0.05 eV per formula unit
total magnetization: 0.000 μB per atom

***

(4)
Compound: ZrCd
Source: OQMD via LeMat-Bulk
Functional: PBE-GGA
Structure: relaxed

Cell lengths 4.9921, 9.2220, 5.6256 Å; angles 90.00, 90.00, 90.00 degrees
Closest atoms and distances in Å follow each position.
Sites, in units of the cell vectors:
Zr 0.0000 0.0571 0.0000  5 Zr 3.00-3.13, 5 Cd 3.05-3.14
Zr 0.0000 0.2742 0.4828  7 Cd 2.97-3.14, 3 Zr 3.06-3.08
Zr 0.0000 0.7258 0.9828  7 Cd 2.97-3.14, 3 Zr 3.06-3.08
Zr 0.0000 0.9429 0.5000  5 Zr 3.00-3.13, 5 Cd 3.05-3.14
Zr 0.5000 0.2172 0.7889  6 Cd 2.93-3.20, 4 Zr 3.08-3.13
Zr 0.5000 0.7828 0.2889  6 Cd 2.93-3.20, 4 Zr 3.08-3.13
Cd 0.0000 0.3955 0.9713  6 Zr 2.97-3.16, 4 Cd 3.03-3.15
Cd 0.0000 0.6045 0.4713  6 Zr 2.97-3.16, 4 Cd 3.03-3.15
Cd 0.5000 0.1088 0.2986  9 Zr 2.93-3.14, 1 Cd 3.02
Cd 0.5000 0.4358 0.2707  7 Cd 3.02-3.15, 4 Zr 3.14-3.38
Cd 0.5000 0.5642 0.7707  7 Cd 3.02-3.15, 4 Zr 3.14-3.38
Cd 0.5000 0.8912 0.7986  9 Zr 2.93-3.14, 1 Cd 3.02

Values from the calculation:
E_tot: -56.572 eV per cell
V: 259 Å³/cell
energy relative to the elements: 0.01 eV per formula unit
total magnetization: 0.045 μB per atom

***

(5)
Compound: Zr2Cd
Source: OQMD via LeMat-Bulk
Functional: PBE-GGA
Structure: relaxed

Cell lengths 5.7738, 5.7738, 5.7738 Å; angles 60.00, 60.00, 60.00 degrees
Closest atoms and distances in Å follow each position.
Sites, in units of the cell vectors:
Zr 0.0000 0.0000 0.0000  6 Zr 2.89
Zr 0.0000 0.0000 0.5000  6 Zr 2.89
Zr 0.0000 0.5000 0.0000  6 Zr 2.89
Zr 0.5000 0.0000 0.0000  6 Zr 2.89
Cd 0.3750 0.3750 0.3750  12 Zr 3.39, 4 Cd 3.54
Cd 0.6250 0.6250 0.6250  12 Zr 3.39, 4 Cd 3.54

Values from the calculation:
E_tot: -34.581 eV per cell
V: 136 Å³/cell
energy relative to the elements: 0.70 eV per formula unit
total magnetization: 0.001 μB per atom

***

(6)
Compound: Zr2Cd
Source: OQMD via LeMat-Bulk
Functional: PBE-GGA
Structure: relaxed

Cell lengths 8.4006, 8.4006, 5.1929 Å; angles 90.00, 90.00, 158.57 degrees
Closest atoms and distances in Å follow each position.
Sites, in units of the cell vectors:
Zr 0.1141 0.8859 0.7500  6 Zr 3.12-3.15, 6 Cd 3.15-3.20
Zr 0.2204 0.7796 0.2500  10 Zr 3.12-3.18, 2 Cd 3.20
Zr 0.7796 0.2204 0.7500  10 Zr 3.12-3.18, 2 Cd 3.20
Zr 0.8859 0.1141 0.2500  6 Zr 3.12-3.15, 6 Cd 3.15-3.20
Cd 0.4486 0.5514 0.7500  4 Cd 3.10-3.12, 8 Zr 3.15-3.20
Cd 0.5514 0.4486 0.2500  4 Cd 3.10-3.12, 8 Zr 3.15-3.20

Values from the calculation:
E_tot: -36.521 eV per cell
V: 134 Å³/cell
energy relative to the elements: -0.27 eV per formula unit
total magnetization: 0.004 μB per atom

***

(7)
Compound: Zr5Cd
Source: OQMD via LeMat-Bulk
Functional: PBE-GGA
Structure: relaxed

Cell lengths 5.5002, 5.5002, 5.2119 Å; angles 90.00, 90.00, 120.00 degrees
Closest atoms and distances in Å follow each position.
Sites, in units of the cell vectors:
Zr 0.0000 0.6750 0.0000  10 Zr 3.10-3.22, 2 Cd 3.16
Zr 0.3250 0.3250 0.0000  10 Zr 3.10-3.22, 2 Cd 3.16
Zr 0.3333 0.6667 0.5000  3 Cd 3.18, 9 Zr 3.18-3.20
Zr 0.6667 0.3333 0.5000  3 Cd 3.18, 9 Zr 3.18-3.20
Zr 0.6750 0.0000 0.0000  10 Zr 3.10-3.22, 2 Cd 3.16
Cd 0.0000 0.0000 0.5000  12 Zr 3.16-3.18

Values from the calculation:
E_tot: -43.666 eV per cell
V: 137 Å³/cell
energy relative to the elements: -0.03 eV per formula unit
total magnetization: 0.002 μB per atom

***

(8)
Compound: Zr3Cd
Source: OQMD via LeMat-Bulk
Functional: PBE-GGA
Structure: relaxed

Cell lengths 6.2933, 6.2933, 5.1873 Å; angles 90.00, 90.00, 120.00 degrees
Closest atoms and distances in Å follow each position.
Sites, in units of the cell vectors:
Zr 0.1685 0.3370 0.2500  8 Zr 3.11-3.18, 4 Cd 3.15-3.16
Zr 0.1685 0.8315 0.2500  8 Zr 3.11-3.18, 4 Cd 3.15-3.16
Zr 0.3370 0.1685 0.7500  8 Zr 3.11-3.18, 4 Cd 3.15-3.16
Zr 0.6630 0.8315 0.2500  8 Zr 3.11-3.18, 4 Cd 3.15-3.16
Zr 0.8315 0.1685 0.7500  8 Zr 3.11-3.18, 4 Cd 3.15-3.16
Zr 0.8315 0.6630 0.7500  8 Zr 3.11-3.18, 4 Cd 3.15-3.16
Cd 0.3333 0.6667 0.7500  12 Zr 3.15-3.16
Cd 0.6667 0.3333 0.2500  12 Zr 3.15-3.16

Values from the calculation:
E_tot: -53.392 eV per cell
V: 178 Å³/cell
energy relative to the elements: -0.16 eV per formula unit
total magnetization: 0.016 μB per atom